A geometry-optimized YI2BrN structure, computed with PBE.

Structure (POSCAR):
```
YI2BrN
1.0
6.4270 0.0000 0.0000
0.0000 6.4270 0.0000
0.0000 0.0000 3.7415
Y I Br N
1 2 1 1
direct
0.0000 0.0000 0.0000 Y
0.0000 0.5000 0.5000 I
0.5000 0.0000 0.5000 I
0.5000 0.5000 0.5000 Br
0.5000 0.5000 0.0000 N
```

Summary:
Its energy above the most stable polymorph in this dataset is 729.6 meV/atom. The symmetry is P4/mmm, No. 123.



A geometry-optimized YIBrN2 structure, computed with PBE.

Structure (POSCAR):
```
YIBrN2
1.0
4.3822 0.0000 0.0000
0.0000 4.3822 0.0000
0.0000 0.0000 5.5034
Y I Br N
1 1 1 2
direct
0.0000 0.0000 0.0000 Y
0.5000 0.5000 0.0000 I
0.0000 0.0000 0.5000 Br
0.0000 0.5000 0.5000 N
0.5000 0.0000 0.5000 N
```

Summary:
Its energy above the most stable polymorph in this dataset is 579.4 meV/atom. The symmetry is P4/mmm, No. 123.



A geometry-optimized YIBrN2 structure, computed with PBE.

Structure (POSCAR):
```
YIBrN2
1.0
4.3997 0.0000 0.0000
0.0000 4.3997 0.0000
0.0000 0.0000 5.1245
Y I Br N
1 1 1 2
direct
0.0000 0.0000 0.0000 Y
0.5000 0.5000 0.0000 I
0.5000 0.5000 0.5000 Br
0.0000 0.5000 0.5000 N
0.5000 0.0000 0.5000 N
```

Summary:
Its energy above the most stable polymorph in this dataset is 813.5 meV/atom. The symmetry is P4/mmm, No. 123.



A geometry-optimized YIBrN2 structure, computed with PBE.

Structure (POSCAR):
```
YIBrN2
1.0
4.6711 0.0000 0.0000
0.0000 4.6711 0.0000
0.0000 0.0000 6.3748
Y I Br N
1 1 1 2
direct
0.0000 0.0000 0.0000 Y
0.0000 0.0000 0.5000 I
0.5000 0.5000 0.5000 Br
0.0000 0.5000 0.0000 N
0.5000 0.0000 0.0000 N
```

Summary:
Its energy above the most stable polymorph in this dataset is 0.0 meV/atom. The symmetry is P4/mmm, No. 123.



| no. | formation energy from raw total energies (kJ/mol of atoms) |
| --- | --- |
| 1 | 66.3 |
| 2 | 124.2 |
| 3 | 146.8 |
| 4 | 68.3 |